Entry from Alexandria: IrRuW2 after structural relaxation (PBE).

It has space group I-4m2 (No. 119), with a = 3.909 Å, b = 3.909 Å, c = 7.944 Å, α = 90.00°, β = 90.00° and γ = 90.00°. The asymmetric unit holds Ir at (0.000, 0.000, 0.000), Ru at (0.000, 0.500, 0.250), W at (0.000, 0.000, 0.500) and W at (0.000, 0.500, 0.750).

The formation energy from the elements comes out at -0.05 eV per atom. As for the energy: -11.06 eV per atom. The value obtained for the density of states at the Fermi level is 6.21 states/eV/cell.

***

Entry from Alexandria: IrRu4W after structural relaxation (PBE).

It has space group Amm2 (No. 38), with a = 4.363 Å, b = 2.759 Å, c = 14.296 Å, α = 90.00°, β = 90.00° and γ = 90.00°. The asymmetric unit holds Ir at (0.000, 0.000, 0.000), Ru at (0.000, 0.000, 0.332), Ru at (0.000, 0.000, 0.666), Ru at (0.500, 0.000, 0.552), Ru at (0.500, 0.000, 0.886) and W at (0.500, 0.000, 0.222).

The formation energy from the elements comes out at -0.06 eV per atom. As for the energy: -9.88 eV per atom. The value obtained for the density of states at the Fermi level is 10.64 states/eV/cell.

***

Entry from Alexandria: Ir3RuW after structural relaxation (PBE).

It has space group Pm-3m (No. 221), with a = 4.607 Å, b = 4.607 Å, c = 4.607 Å, α = 90.00°, β = 90.00° and γ = 90.00°. The asymmetric unit holds Ir at (0.000, 0.000, 0.500), Ru at (0.000, 0.000, 0.000) and W at (0.500, 0.500, 0.500).

The formation energy from the elements comes out at 2.27 eV per atom. As for the energy: -7.49 eV per atom. The value obtained for the density of states at the Fermi level is 8.74 states/eV/cell.

***

Entry from Alexandria: IrRu5W4 after structural relaxation (PBE).

It has space group C2/m (No. 12), with a = 14.109 Å, b = 3.921 Å, c = 5.494 Å, α = 90.00°, β = 102.26° and γ = 90.00°. The asymmetric unit holds Ir at (0.000, 0.000, 0.000), Ru at (0.000, 0.000, 0.500), Ru at (0.100, 0.500, 0.799), Ru at (0.198, 0.000, 0.599), W at (0.098, 0.500, 0.311) and W at (0.203, 0.000, 0.102).

The formation energy from the elements comes out at -0.04 eV per atom. As for the energy: -10.75 eV per atom. The value obtained for the density of states at the Fermi level is 17.71 states/eV/cell.

***

Entry from Alexandria: Ir4RuW after structural relaxation (PBE).

It has space group Cmcm (No. 63), with a = 5.470 Å, b = 14.797 Å, c = 4.506 Å, α = 90.00°, β = 90.00° and γ = 90.00°. The asymmetric unit holds Ir at (0.247, 0.039, 0.250), Ir at (0.250, 0.145, 0.750), Ru at (0.000, 0.196, 0.250) and W at (0.000, 0.304, 0.750).

The formation energy from the elements comes out at 0.00 eV per atom. As for the energy: -9.61 eV per atom. The value obtained for the density of states at the Fermi level is 23.16 states/eV/cell.

***

Entry from Alexandria: IrRuW2 after structural relaxation (PBE).

It has space group P4mm (No. 99), with a = 3.269 Å, b = 3.269 Å, c = 5.813 Å, α = 90.00°, β = 90.00° and γ = 90.00°. The asymmetric unit holds Ir at (0.000, 0.000, 0.000), Ru at (0.500, 0.500, 0.286), W at (0.000, 0.000, 0.501) and W at (0.500, 0.500, 0.787).

The formation energy from the elements comes out at 0.13 eV per atom. As for the energy: -10.88 eV per atom. The value obtained for the density of states at the Fermi level is 4.47 states/eV/cell.

***

Entry from Alexandria: Ir3RuW after structural relaxation (PBE).

It has space group Ama2 (No. 40), with a = 8.490 Å, b = 7.353 Å, c = 5.095 Å, α = 90.00°, β = 90.00° and γ = 90.00°. The asymmetric unit holds Ir at (0.071, 0.155, 0.000), Ir at (0.250, 0.440, 0.817), Ru at (0.250, 0.334, 0.341) and W at (0.000, 0.000, 0.559).

The formation energy from the elements comes out at 0.19 eV per atom. As for the energy: -9.57 eV per atom. The value obtained for the density of states at the Fermi level is 12.07 states/eV/cell.

***

Entry from Alexandria: IrRuW2 after structural relaxation (PBE).

It has space group Pmmm (No. 47), with a = 2.800 Å, b = 3.858 Å, c = 5.599 Å, α = 90.00°, β = 90.00° and γ = 90.00°. The asymmetric unit holds Ir at (0.000, 0.000, 0.000), Ru at (0.000, 0.000, 0.500) and W at (0.500, 0.500, 0.253).

The formation energy from the elements comes out at -0.13 eV per atom. As for the energy: -11.14 eV per atom. The value obtained for the density of states at the Fermi level is 3.00 states/eV/cell.